No. 1
Entry from Alexandria via LeMat-Bulk: an optimized crystal structure of ZrHgF2 (PBE-GGA).

Geometry as POSCAR:
```
ZrHgF2
1.0
-1.622 4.087 0.286
-4.057 -1.559 -0.722
-3.765 0.401 6.853
Hg Zr F
2 2 4
Cartesian
0.000 0.000 0.000
-4.113 2.876 3.461
-2.840 1.264 -0.218
-5.331 0.053 2.957
-2.174 1.732 1.751
-3.968 0.363 1.349
-5.675 0.971 4.848
-7.071 2.790 4.887
```

Calculated values
DFT total energy, eV for the cell shown: -39.72
Formation energy from raw total energies, meV/atom: -1817
Total magnetization, μB per cell: 0.00
Excess energy over the best structure of this formula in the dataset, meV/atom: 147

No. 2
Entry from Alexandria via LeMat-Bulk: an optimized crystal structure of Zr2HgF (PBE-GGA).

Geometry as POSCAR:
```
Zr2HgF
1.0
-3.943 -0.355 2.675
-2.439 3.932 1.194
-4.286 0.833 -1.940
Hg Zr F
1 2 1
Cartesian
-5.334 2.205 0.964
-2.667 1.103 0.482
-8.001 3.308 1.447
0.000 0.000 0.000
```

Calculated values
DFT total energy, eV for the cell shown: -21.53
Formation energy from raw total energies, meV/atom: -564
Total magnetization, μB per cell: 0.00
Excess energy over the best structure of this formula in the dataset, meV/atom: 0